# SCAN Ca2MgSi, single point on PBEsol structure
data_Ca2MgSi
_symmetry_space_group_name_H-M 'A m m 2'
_symmetry_Int_Tables_number 38
_symmetry_space_group_name_Hall 'A 2 -2'
_cell_length_a 4.453
_cell_length_b 4.249
_cell_length_c 11.493
_cell_angle_alpha 90.00
_cell_angle_beta 90.00
_cell_angle_gamma 90.00
loop_
_atom_site_label
_atom_site_type_symbol
_atom_site_fract_x
_atom_site_fract_y
_atom_site_fract_z
Ca1 Ca 0.000 0.000 0.000
Ca2 Ca 0.500 0.000 0.294
Mg1 Mg 0.000 0.000 0.703
Si1 Si 0.500 0.000 0.570
# Formation energy (no corrections), kJ/mol of atoms: -21.8
# Fermi-level density of states, states/eV/atom: 0.6506

---

# SCAN SrTeW2, single point on PBEsol structure
data_SrTeW2
_symmetry_space_group_name_H-M 'I m m 2'
_symmetry_Int_Tables_number 44
_symmetry_space_group_name_Hall 'I 2 -2'
_cell_length_a 3.355
_cell_length_b 5.402
_cell_length_c 9.985
_cell_angle_alpha 90.00
_cell_angle_beta 90.00
_cell_angle_gamma 90.00
loop_
_atom_site_label
_atom_site_type_symbol
_atom_site_fract_x
_atom_site_fract_y
_atom_site_fract_z
Sr1 Sr 0.000 0.000 0.000
Te1 Te 0.000 0.500 0.783
W1 W 0.000 0.000 0.526
W2 W 0.000 0.500 0.207
# Formation energy (no corrections), kJ/mol of atoms: 82.5
# Fermi-level density of states, states/eV/atom: 0.4722

---

# SCAN V3P2O11, single point on PBEsol structure
data_V3P2O11
_symmetry_space_group_name_H-M 'P 1 21/c 1'
_symmetry_Int_Tables_number 14
_symmetry_space_group_name_Hall '-P 2ybc'
_cell_length_a 11.834
_cell_length_b 6.838
_cell_length_c 9.908
_cell_angle_alpha 90.00
_cell_angle_beta 91.47
_cell_angle_gamma 90.00
loop_
_atom_site_label
_atom_site_type_symbol
_atom_site_fract_x
_atom_site_fract_y
_atom_site_fract_z
V1 V 0.175 0.197 0.474
V2 V 0.252 0.663 0.368
V3 V 0.323 0.186 0.275
P1 P 0.086 0.708 0.110
P2 P 0.419 0.701 0.628
O1 O 0.038 0.220 0.898
O2 O 0.095 0.005 0.568
O3 O 0.126 0.728 0.259
O4 O 0.158 0.658 0.522
O5 O 0.248 0.013 0.374
O6 O 0.248 0.237 0.123
O7 O 0.249 0.100 0.867
O8 O 0.348 0.659 0.213
O9 O 0.378 0.714 0.479
O10 O 0.413 0.007 0.182
O11 O 0.455 0.245 0.373
# Formation energy (no corrections), kJ/mol of atoms: -243.7

---

# SCAN Sr3Ca3Ru4O14, single point on PBEsol structure
data_Sr3Ca3Ru4O14
_symmetry_space_group_name_H-M 'P 1'
_symmetry_Int_Tables_number 1
_symmetry_space_group_name_Hall 'P 1'
_cell_length_a 5.491
_cell_length_b 5.500
_cell_length_c 10.259
_cell_angle_alpha 90.39
_cell_angle_beta 105.52
_cell_angle_gamma 90.02
loop_
_atom_site_label
_atom_site_type_symbol
_atom_site_fract_x
_atom_site_fract_y
_atom_site_fract_z
Sr1 Sr 0.000 0.000 0.000
Sr2 Sr 0.190 0.058 0.378
Sr3 Sr 0.515 0.503 0.003
Ca1 Ca 0.337 0.574 0.627
Ca2 Ca 0.710 0.575 0.377
Ca3 Ca 0.808 0.074 0.627
Ru1 Ru 0.109 0.534 0.200
Ru2 Ru 0.408 0.032 0.802
Ru3 Ru 0.606 0.036 0.201
Ru4 Ru 0.908 0.532 0.800
O1 O 0.063 0.532 0.999
O2 O 0.101 0.822 0.771
O3 O 0.151 0.538 0.399
O4 O 0.182 0.321 0.767
O5 O 0.339 0.812 0.219
O6 O 0.378 0.010 0.610
O7 O 0.413 0.324 0.231
O8 O 0.451 0.043 0.001
O9 O 0.631 0.741 0.828
O10 O 0.710 0.242 0.825
O11 O 0.745 0.016 0.401
O12 O 0.748 0.515 0.602
O13 O 0.814 0.751 0.177
O14 O 0.879 0.251 0.176
# Formation energy (no corrections), kJ/mol of atoms: -218.3
# Fermi-level density of states, states/eV/atom: 0.2037

---

# SCAN LiAl2Ag, single point on PBEsol structure
data_LiAl2Ag
_symmetry_space_group_name_H-M 'P 4/m m m'
_symmetry_Int_Tables_number 123
_symmetry_space_group_name_Hall '-P 4 2'
_cell_length_a 2.827
_cell_length_b 2.827
_cell_length_c 8.197
_cell_angle_alpha 90.00
_cell_angle_beta 90.00
_cell_angle_gamma 90.00
loop_
_atom_site_label
_atom_site_type_symbol
_atom_site_fract_x
_atom_site_fract_y
_atom_site_fract_z
Li1 Li 0.000 0.000 0.000
Al1 Al 0.500 0.500 0.257
Ag1 Ag 0.000 0.000 0.500
# Fermi-level density of states, states/eV/atom: 0.2846
# Energy of formation, meV per atom: -104
# Energy above the lowest structure with this stoichiometry, eV/f.u.: 0.32

---

# SCAN HfSc2In, single point on PBEsol structure
data_HfSc2In
_symmetry_space_group_name_H-M 'R -3 m'
_symmetry_Int_Tables_number 166
_symmetry_space_group_name_Hall '-R 3 2"'
_cell_length_a 3.1043
_cell_length_b 3.1043
_cell_length_c 32.7749
_cell_angle_alpha 90.00
_cell_angle_beta 90.00
_cell_angle_gamma 120.00
loop_
_atom_site_label
_atom_site_type_symbol
_atom_site_fract_x
_atom_site_fract_y
_atom_site_fract_z
Hf1 Hf 0.0000 0.0000 0.0000
Sc1 Sc 0.0000 0.0000 0.0905
In1 In 0.0000 0.0000 0.5000
# Fermi-level density of states, states/eV/atom: 0.9992
# Energy of formation, meV per atom: 157

---

# SCAN Ni2PPt, single point on PBEsol structure
data_Ni2PPt
_symmetry_space_group_name_H-M 'P 4 m m'
_symmetry_Int_Tables_number 99
_symmetry_space_group_name_Hall 'P 4 -2'
_cell_length_a 3.003
_cell_length_b 3.003
_cell_length_c 5.303
_cell_angle_alpha 90.00
_cell_angle_beta 90.00
_cell_angle_gamma 90.00
loop_
_atom_site_label
_atom_site_type_symbol
_atom_site_fract_x
_atom_site_fract_y
_atom_site_fract_z
Ni1 Ni 0.000 0.000 0.000
Ni2 Ni 0.500 0.500 0.232
P1 P 0.000 0.000 0.420
Pt1 Pt 0.500 0.500 0.722
# Fermi-level density of states, states/eV/atom: 0.7186
# Energy of formation, meV per atom: -72

---

# SCAN LiHf2BeB, single point on PBEsol structure
data_LiHf2BeB
_symmetry_space_group_name_H-M 'P 4/m m m'
_symmetry_Int_Tables_number 123
_symmetry_space_group_name_Hall '-P 4 2'
_cell_length_a 4.480
_cell_length_b 4.480
_cell_length_c 3.926
_cell_angle_alpha 90.00
_cell_angle_beta 90.00
_cell_angle_gamma 90.00
loop_
_atom_site_label
_atom_site_type_symbol
_atom_site_fract_x
_atom_site_fract_y
_atom_site_fract_z
Li1 Li 0.000 0.000 0.000
Hf1 Hf 0.000 0.500 0.500
Be1 Be 0.500 0.500 0.000
B1 B 0.000 0.000 0.500
# Fermi-level density of states, states/eV/atom: 0.8257
# Energy of formation, meV per atom: 251

---

# SCAN Er2Co7B3, single point on PBEsol structure
data_Er2Co7B3
_symmetry_space_group_name_H-M 'P 6/m m m'
_symmetry_Int_Tables_number 191
_symmetry_space_group_name_Hall '-P 6 2'
_cell_length_a 4.9063
_cell_length_b 4.9063
_cell_length_c 12.6686
_cell_angle_alpha 90.00
_cell_angle_beta 90.00
_cell_angle_gamma 120.00
loop_
_atom_site_label
_atom_site_type_symbol
_atom_site_fract_x
_atom_site_fract_y
_atom_site_fract_z
Er1 Er 0.0000 0.0000 0.0000
Er2 Er 0.0000 0.0000 0.2394
Er3 Er 0.0000 0.0000 0.5000
Co1 Co 0.0000 0.5000 0.1164
Co2 Co 0.0000 0.5000 0.3474
Co3 Co 0.3333 0.6667 0.5000
B1 B 0.3333 0.6667 0.0000
B2 B 0.3333 0.6667 0.2324
# Fermi-level density of states, states/eV/atom: 0.5206
# Energy of formation, meV per atom: -369

---

# SCAN LiCoAu2, single point on PBEsol structure
data_LiCoAu2
_symmetry_space_group_name_H-M 'P 4 m m'
_symmetry_Int_Tables_number 99
_symmetry_space_group_name_Hall 'P 4 -2'
_cell_length_a 3.233
_cell_length_b 3.233
_cell_length_c 5.514
_cell_angle_alpha 90.00
_cell_angle_beta 90.00
_cell_angle_gamma 90.00
loop_
_atom_site_label
_atom_site_type_symbol
_atom_site_fract_x
_atom_site_fract_y
_atom_site_fract_z
Li1 Li 0.000 0.000 0.000
Co1 Co 0.500 0.500 0.740
Au1 Au 0.000 0.000 0.528
Au2 Au 0.500 0.500 0.218
# Fermi-level density of states, states/eV/atom: 0.2736
# Energy of formation, meV per atom: -103

---

# SCAN Zr5AgPb3, single point on PBEsol structure
data_Zr5AgPb3
_symmetry_space_group_name_H-M 'P 63/m c m'
_symmetry_Int_Tables_number 193
_symmetry_space_group_name_Hall '-P 6c 2'
_cell_length_a 8.7391
_cell_length_b 8.7391
_cell_length_c 5.8970
_cell_angle_alpha 90.00
_cell_angle_beta 90.00
_cell_angle_gamma 120.00
loop_
_atom_site_label
_atom_site_type_symbol
_atom_site_fract_x
_atom_site_fract_y
_atom_site_fract_z
Zr1 Zr 0.0000 0.2793 0.2500
Zr2 Zr 0.3333 0.6667 0.0000
Ag1 Ag 0.0000 0.0000 0.0000
Pb1 Pb 0.0000 0.3782 0.7500
# Fermi-level density of states, states/eV/atom: 0.7713
# Energy of formation, meV per atom: -448

---

# SCAN MgSbCl, single point on PBEsol structure
data_MgSbCl
_symmetry_space_group_name_H-M 'F -4 3 m'
_symmetry_Int_Tables_number 216
_symmetry_space_group_name_Hall 'F -4 2 3'
_cell_length_a 6.813
_cell_length_b 6.813
_cell_length_c 6.813
_cell_angle_alpha 90.00
_cell_angle_beta 90.00
_cell_angle_gamma 90.00
loop_
_atom_site_label
_atom_site_type_symbol
_atom_site_fract_x
_atom_site_fract_y
_atom_site_fract_z
Mg1 Mg 0.000 0.000 0.000
Sb1 Sb 0.000 0.000 0.500
Cl1 Cl 0.250 0.250 0.750
# Formation energy (no corrections), kJ/mol of atoms: 29.1
# Fermi-level density of states, states/eV/atom: 1.2433
# Energy above the lowest structure with this stoichiometry, eV/f.u.: 3.80

---

# SCAN Mn3NiP4O16, single point on PBEsol structure
data_Mn3NiP4O16
_symmetry_space_group_name_H-M 'P 1 m 1'
_symmetry_Int_Tables_number 6
_symmetry_space_group_name_Hall 'P -2y'
_cell_length_a 4.721
_cell_length_b 5.741
_cell_length_c 9.647
_cell_angle_alpha 90.00
_cell_angle_beta 90.26
_cell_angle_gamma 90.00
loop_
_atom_site_label
_atom_site_type_symbol
_atom_site_fract_x
_atom_site_fract_y
_atom_site_fract_z
Mn1 Mn 0.000 0.000 0.000
Mn2 Mn 0.115 0.500 0.447
Mn3 Mn 0.622 0.000 0.505
Ni1 Ni 0.501 0.500 0.955
P1 P 0.155 0.000 0.318
P2 P 0.448 0.000 0.822
P3 P 0.658 0.500 0.635
P4 P 0.961 0.500 0.134
O1 O 0.215 0.000 0.163
O2 O 0.279 0.500 0.120
O3 O 0.292 0.207 0.894
O4 O 0.308 0.208 0.393
O5 O 0.338 0.500 0.606
O6 O 0.398 0.000 0.664
O7 O 0.721 0.500 0.788
O8 O 0.770 0.000 0.845
O9 O 0.807 0.289 0.059
O10 O 0.810 0.293 0.557
O11 O 0.835 0.000 0.343
O12 O 0.885 0.500 0.289
# Formation energy (no corrections), kJ/mol of atoms: -216.9
# Fermi-level density of states, states/eV/atom: 0.1201

---

# SCAN H2Pb3O4, single point on PBEsol structure
data_H2Pb3O4
_symmetry_space_group_name_H-M 'P -4 21 c'
_symmetry_Int_Tables_number 114
_symmetry_space_group_name_Hall 'P -4 2n'
_cell_length_a 7.966
_cell_length_b 7.966
_cell_length_c 9.189
_cell_angle_alpha 90.00
_cell_angle_beta 90.00
_cell_angle_gamma 90.00
loop_
_atom_site_label
_atom_site_type_symbol
_atom_site_fract_x
_atom_site_fract_y
_atom_site_fract_z
H1 H 0.167 0.327 0.245
Pb1 Pb 0.000 0.000 0.283
Pb2 Pb 0.126 0.694 0.998
O1 O 0.085 0.201 0.869
O2 O 0.108 0.254 0.170
# Uncorrected energy, eV per atom: -29.92
# Fermi-level density of states, states/eV/atom: 0.0000

---

# SCAN HfAlInF2, single point on PBEsol structure
data_HfAlInF2
_symmetry_space_group_name_H-M 'P 4/m m m'
_symmetry_Int_Tables_number 123
_symmetry_space_group_name_Hall '-P 4 2'
_cell_length_a 4.071
_cell_length_b 4.071
_cell_length_c 5.930
_cell_angle_alpha 90.00
_cell_angle_beta 90.00
_cell_angle_gamma 90.00
loop_
_atom_site_label
_atom_site_type_symbol
_atom_site_fract_x
_atom_site_fract_y
_atom_site_fract_z
Hf1 Hf 0.000 0.000 0.000
Al1 Al 0.500 0.500 0.500
In1 In 0.000 0.000 0.500
F1 F 0.000 0.500 0.000
# Formation energy (no corrections), kJ/mol of atoms: -156.0
# Fermi-level density of states, states/eV/atom: 0.3212

---

# SCAN K4Ba5, single point on PBEsol structure
data_K4Ba5
_symmetry_space_group_name_H-M 'I 4/m m m'
_symmetry_Int_Tables_number 139
_symmetry_space_group_name_Hall '-I 4 2'
_cell_length_a 15.528
_cell_length_b 15.528
_cell_length_c 4.674
_cell_angle_alpha 90.00
_cell_angle_beta 90.00
_cell_angle_gamma 90.00
loop_
_atom_site_label
_atom_site_type_symbol
_atom_site_fract_x
_atom_site_fract_y
_atom_site_fract_z
K1 K 0.000 0.335 0.000
Ba1 Ba 0.000 0.000 0.000
Ba2 Ba 0.162 0.162 0.500
# Fermi-level density of states, states/eV/atom: 1.3366
# Energy of formation, meV per atom: 84

---

# SCAN Cu2Au3, single point on PBEsol structure
data_Cu2Au3
_symmetry_space_group_name_H-M 'I 4/m m m'
_symmetry_Int_Tables_number 139
_symmetry_space_group_name_Hall '-I 4 2'
_cell_length_a 2.885
_cell_length_b 2.885
_cell_length_c 17.688
_cell_angle_alpha 90.00
_cell_angle_beta 90.00
_cell_angle_gamma 90.00
loop_
_atom_site_label
_atom_site_type_symbol
_atom_site_fract_x
_atom_site_fract_y
_atom_site_fract_z
Cu1 Cu 0.000 0.000 0.211
Au1 Au 0.000 0.000 0.000
Au2 Au 0.000 0.000 0.383
# Fermi-level density of states, states/eV/atom: 0.2762
# Energy of formation, meV per atom: -25
# Energy above the lowest structure with this stoichiometry, eV/f.u.: 0.24

---

# SCAN Li7Ca6, single point on PBEsol structure
data_Li7Ca6
_symmetry_space_group_name_H-M 'R -3 m'
_symmetry_Int_Tables_number 166
_symmetry_space_group_name_Hall '-R 3 2"'
_cell_length_a 6.2329
_cell_length_b 6.2329
_cell_length_c 34.7416
_cell_angle_alpha 90.00
_cell_angle_beta 90.00
_cell_angle_gamma 120.00
loop_
_atom_site_label
_atom_site_type_symbol
_atom_site_fract_x
_atom_site_fract_y
_atom_site_fract_z
Li1 Li 0.0000 0.0000 0.0000
Li2 Li 0.0015 0.5008 0.5936
Ca1 Ca 0.0000 0.0000 0.1671
Ca2 Ca 0.0000 0.0000 0.3466
Ca3 Ca 0.0000 0.0000 0.4498
# Fermi-level density of states, states/eV/atom: 0.7695
# Energy of formation, meV per atom: 7

---

# SCAN Co2WAu, single point on PBEsol structure
data_Co2WAu
_symmetry_space_group_name_H-M 'C 1 2/m 1'
_symmetry_Int_Tables_number 12
_symmetry_space_group_name_Hall '-C 2y'
_cell_length_a 5.390
_cell_length_b 8.445
_cell_length_c 2.632
_cell_angle_alpha 90.00
_cell_angle_beta 116.10
_cell_angle_gamma 90.00
loop_
_atom_site_label
_atom_site_type_symbol
_atom_site_fract_x
_atom_site_fract_y
_atom_site_fract_z
Co1 Co 0.250 0.250 0.000
W1 W 0.000 0.000 0.500
Au1 Au 0.000 0.500 0.500
# Fermi-level density of states, states/eV/atom: 0.9305
# Energy of formation, meV per atom: 456